No. 1
Computed, not measured: a relaxed structure of PPtS2F at the GGA-PBEsol level of DFT.

a b c (Å): 4.6893 4.6893 3.5898
angles (deg): 90.00 90.00 90.00
Space group P4/mmm (No. 123)
Symmetry-distinct sites (fractional):
P1 0.0000 0.0000 0.0000
Pt1 0.5000 0.5000 0.0000
S1 0.0000 0.5000 0.5000
F1 0.0000 0.0000 0.5000

## Properties
Crystal system: tetragonal
Calculated total energy (eV/atom): -3.766

No. 2
Computed, not measured: a relaxed structure of Rb3PF at the GGA-PBEsol level of DFT.

a b c (Å): 5.3635 5.3635 5.3635
angles (deg): 90.00 90.00 90.00
Space group Pm-3m (No. 221)
Symmetry-distinct sites (fractional):
Rb1 0.0000 0.0000 0.5000
P1 0.5000 0.5000 0.5000
F1 0.0000 0.0000 0.0000

## Properties
Crystal system: cubic
Calculated total energy (eV/atom): -3.212

No. 3
Computed, not measured: a relaxed structure of RbP2F at the GGA-PBEsol level of DFT.

a b c (Å): 4.0993 4.0993 24.9134
angles (deg): 90.00 90.00 90.00
Space group I4_1/amd (No. 141, origin choice 2)
Symmetry-distinct sites (fractional):
Rb1 0.0000 0.2500 0.3750
P1 0.0000 0.0000 0.0000
F1 0.0000 0.2500 0.8750

## Properties
Crystal system: tetragonal
Calculated total energy (eV/atom): -4.221

No. 4
Computed, not measured: a relaxed structure of ReP2F at the GGA-PBEsol level of DFT.

a b c (Å): 5.8662 5.8662 5.8662
angles (deg): 90.00 90.00 90.00
Space group Fm-3m (No. 225)
Symmetry-distinct sites (fractional):
Re1 0.0000 0.0000 0.0000
P1 0.2500 0.2500 0.2500
F1 0.0000 0.0000 0.5000

## Properties
Crystal system: cubic
Calculated total energy (eV/atom): -6.739

Here are the calculated ΔE_f (raw) numbers, same order: 924, -1053, -587, -28 (meV/atom).